Here is PmSi6 after structural relaxation from Alexandria via LeMat-Bulk. Energies are from GGA-PBE.

## Properties
Formation energy from raw total energies ... 128.5 meV per atom
Magnetic moment ... 0.0 μB per formula unit
Crystal system ... cubic

abc: 6.652 6.652 6.652
angles: 90.00 90.00 90.00
Space group Im-3m (No. 229)
Unique sites:
Pm  0.000  0.000  0.000
Si  0.000  0.250  0.500